i | Compound: Pr2Pt2O5
Source: OQMD
Functional: PBE
Structure: optimized geometry

Geometry as extended XYZ:
```
9
Lattice="3.785 0.000 0.000 0.000 3.785 0.000 0.000 0.000 9.604" Properties=species:S:1:pos:R:3 pbc="T T T"
Pr 0.000 0.000 2.291
Pr 0.000 0.000 7.313
Pt 1.893 1.893 0.000
Pt 1.893 1.893 4.802
O 0.000 0.000 0.000
O 0.000 1.893 3.608
O 0.000 1.893 5.996
O 1.893 0.000 3.608
O 1.893 0.000 5.996
```

Summary:
Crystal system   tetragonal

ii | Compound: Pr2Pt2O5
Source: OQMD
Functional: PBE
Structure: optimized geometry

Geometry as extended XYZ:
```
9
Lattice="4.099 0.000 0.000 0.000 4.099 0.000 0.000 0.000 7.067" Properties=species:S:1:pos:R:3 pbc="T T T"
Pr 0.000 0.000 0.000
Pr 0.000 0.000 3.534
Pt 2.049 2.049 1.366
Pt 2.049 2.049 5.701
O 0.000 2.049 1.682
O 0.000 2.049 5.385
O 2.049 0.000 1.682
O 2.049 0.000 5.385
O 2.049 2.049 3.534
```

Summary:
Crystal system   tetragonal

Which of them is the most stable? Correct choice: ii.

i | Compound: PrPt2O4
Source: OQMD
Functional: PBE
Structure: optimized geometry

Geometry as extended XYZ:
```
14
Lattice="0.000 4.680 4.680 4.680 0.000 4.680 4.680 4.680 0.000" Properties=species:S:1:pos:R:3 pbc="T T T"
Pr 1.170 1.170 1.170
Pr 8.191 8.191 8.191
Pt 4.680 2.340 2.340
Pt 2.340 4.680 2.340
Pt 2.340 2.340 4.680
Pt 4.680 4.680 4.680
O 2.515 2.515 2.515
O 4.506 4.506 2.515
O 4.506 2.515 4.506
O 6.846 4.855 4.855
O 2.515 4.506 4.506
O 4.855 6.846 4.855
O 4.855 4.855 6.846
O 6.846 6.846 6.846
```

Summary:
Crystal system   cubic

ii | Compound: PrPt2O4
Source: OQMD
Functional: PBE
Structure: optimized geometry

Geometry as extended XYZ:
```
14
Lattice="-2.952 2.952 5.169 2.952 -2.952 5.169 2.952 2.952 -5.169" Properties=species:S:1:pos:R:3 pbc="T T T"
Pr 0.000 1.476 1.292
Pr 2.952 1.476 3.877
Pt 1.476 1.476 -2.584
Pt 1.476 -1.476 2.584
Pt 2.952 0.000 0.000
Pt 0.000 0.000 5.169
O 1.174 0.581 -0.778
O 2.057 0.302 1.806
O 1.778 -0.581 4.391
O 2.057 3.255 -1.806
O 0.895 -0.302 6.975
O 1.174 3.534 0.778
O 0.895 2.650 3.363
O 1.778 2.371 5.947
```

Summary:
Crystal system   tetragonal

Which of them is the most stable? Correct choice: ii.

i | Compound: RbPrTeO
Source: OQMD
Functional: PBE
Structure: optimized geometry

Geometry as extended XYZ:
```
16
Lattice="8.894 0.000 0.000 0.000 7.897 0.000 -0.525 0.000 6.993" Properties=species:S:1:pos:R:3 pbc="T T T"
Rb 0.810 1.121 2.574
Rb 0.547 2.827 6.070
Rb 7.822 5.070 0.923
Rb 7.560 6.776 4.419
Pr 3.886 5.018 5.518
Pr 4.149 6.828 2.021
Pr 4.221 1.070 4.971
Pr 4.483 2.879 1.475
Te 1.907 4.554 2.842
Te 1.644 7.292 6.339
Te 6.725 0.605 0.654
Te 6.463 3.343 4.150
O 3.585 1.130 2.763
O 3.323 2.819 6.259
O 5.047 5.078 0.733
O 4.785 6.768 4.230
```

Summary:
Crystal system   monoclinic

ii | Compound: RbPrTeO
Source: OQMD
Functional: PBE
Structure: optimized geometry

Geometry as extended XYZ:
```
8
Lattice="4.988 0.000 0.000 0.000 8.827 0.000 0.000 0.000 7.143" Properties=species:S:1:pos:R:3 pbc="T T T"
Rb 0.000 1.869 0.000
Rb 0.000 6.958 3.571
Pr 2.494 3.429 2.881
Pr 2.494 5.398 6.452
Te 0.000 1.753 3.647
Te 0.000 7.073 0.076
O 2.494 3.649 0.653
O 2.494 5.177 4.224
```

Summary:
Crystal system   orthorhombic

iii | Compound: RbPrTeO
Source: OQMD
Functional: PBE
Structure: optimized geometry

Geometry as extended XYZ:
```
8
Lattice="4.453 0.000 0.000 0.000 4.453 0.000 0.000 0.000 10.992" Properties=species:S:1:pos:R:3 pbc="T T T"
Rb 1.113 3.340 0.000
Rb 3.340 1.113 0.000
Pr 1.113 1.113 4.512
Pr 3.340 3.340 6.480
Te 1.113 1.113 8.364
Te 3.340 3.340 2.628
O 1.113 3.340 5.496
O 3.340 1.113 5.496
```

Summary:
Crystal system   tetragonal

iv | Compound: RbPrTeO
Source: OQMD
Functional: PBE
Structure: optimized geometry

Geometry as extended XYZ:
```
12
Lattice="4.063 0.000 0.000 -2.031 3.518 0.000 0.000 0.000 23.467" Properties=species:S:1:pos:R:3 pbc="T T T"
Rb 0.000 0.000 0.000
Rb 0.000 2.346 15.644
Rb 2.031 1.173 7.822
Pr 0.000 0.000 12.443
Pr 0.000 2.346 4.621
Pr 2.031 1.173 20.266
Te 0.000 0.000 18.160
Te 0.000 2.346 10.338
Te 2.031 1.173 2.516
O 0.000 0.000 5.535
O 0.000 2.346 21.180
O 2.031 1.173 13.357
```

Summary:
Crystal system   trigonal

Which of them is the most stable? Correct choice: i.

i | Compound: Pr2Si2O5
Source: OQMD
Functional: PBE
Structure: optimized geometry

Geometry as extended XYZ:
```
9
Lattice="3.534 0.000 0.000 0.000 3.534 0.000 0.000 0.000 9.992" Properties=species:S:1:pos:R:3 pbc="T T T"
Pr 0.000 0.000 2.439
Pr 0.000 0.000 7.554
Si 1.767 1.767 0.000
Si 1.767 1.767 4.996
O 0.000 0.000 0.000
O 0.000 1.767 3.866
O 0.000 1.767 6.127
O 1.767 0.000 3.866
O 1.767 0.000 6.127
```

Summary:
Crystal system   tetragonal

ii | Compound: Pr2Si2O5
Source: OQMD
Functional: PBE
Structure: optimized geometry

Geometry as extended XYZ:
```
9
Lattice="3.944 0.000 0.000 0.000 3.944 0.000 0.000 0.000 6.947" Properties=species:S:1:pos:R:3 pbc="T T T"
Pr 0.000 0.000 0.000
Pr 0.000 0.000 3.473
Si 1.972 1.972 1.673
Si 1.972 1.972 5.273
O 0.000 1.972 1.742
O 0.000 1.972 5.204
O 1.972 0.000 1.742
O 1.972 0.000 5.204
O 1.972 1.972 3.473
```

Summary:
Crystal system   tetragonal

Which of them is the most stable? Correct choice: ii.

i | Compound: Pr2SiTeO4
Source: OQMD
Functional: PBE
Structure: optimized geometry

Geometry as extended XYZ:
```
32
Lattice="6.354 0.000 0.000 0.000 7.254 0.000 0.000 0.000 11.237" Properties=species:S:1:pos:R:3 pbc="T T T"
Pr 0.702 1.813 0.000
Pr 0.702 1.813 5.618
Pr 2.458 3.914 2.809
Pr 2.458 6.966 8.427
Pr 3.896 0.288 2.809
Pr 3.896 3.339 8.427
Pr 5.652 5.440 0.000
Pr 5.652 5.440 5.618
Si 2.460 5.440 0.000
Si 2.460 5.440 5.618
Si 3.894 1.813 0.000
Si 3.894 1.813 5.618
Te 0.625 4.164 8.427
Te 0.625 6.717 2.809
Te 5.729 0.537 8.427
Te 5.729 3.090 2.809
O 1.475 4.187 0.403
O 1.475 4.187 5.215
O 1.475 6.694 6.021
O 1.475 6.694 10.834
O 2.868 1.667 6.914
O 2.868 1.667 9.941
O 2.868 1.960 1.296
O 2.868 1.960 4.323
O 3.486 5.294 6.914
O 3.486 5.294 9.941
O 3.486 5.587 1.296
O 3.486 5.587 4.323
O 4.878 0.560 0.403
O 4.878 0.560 5.215
O 4.878 3.067 6.021
O 4.878 3.067 10.834
```

Summary:
Crystal system   orthorhombic

ii | Compound: Pr2SiTeO4
Source: OQMD
Functional: PBE
Structure: optimized geometry

Geometry as extended XYZ:
```
32
Lattice="9.816 0.000 0.000 0.000 6.495 0.000 -0.495 0.000 8.704" Properties=species:S:1:pos:R:3 pbc="T T T"
Pr 0.969 0.990 1.649
Pr 0.721 2.258 6.001
Pr 3.284 4.500 2.849
Pr 3.036 5.242 7.201
Pr 6.285 1.253 1.503
Pr 6.037 1.994 5.855
Pr 8.600 4.237 2.703
Pr 8.352 5.505 7.056
Si 1.222 4.478 0.476
Si 0.975 5.265 4.828
Si 8.347 1.230 3.876
Si 8.099 2.017 8.228
Te 3.722 1.378 3.462
Te 3.475 1.869 7.815
Te 5.847 4.625 0.890
Te 5.599 5.117 5.242
O -0.282 1.244 8.009
O -0.035 2.004 3.657
O 0.806 4.100 7.594
O 1.054 5.642 3.242
O 1.450 3.322 1.593
O 1.203 6.420 5.945
O 2.198 4.175 5.087
O 2.445 5.567 0.734
O 6.876 0.928 7.970
O 7.124 2.320 3.618
O 8.118 0.074 2.759
O 7.871 3.173 7.111
O 8.268 0.853 5.462
O 8.515 2.394 1.110
O 9.356 4.491 5.048
O 9.603 5.251 0.696
```

Summary:
Crystal system   monoclinic

Which of them is the most stable? Correct choice: i.

i | Compound: PrSn2O4
Source: OQMD
Functional: PBE
Structure: optimized geometry

Geometry as extended XYZ:
```
14
Lattice="-3.098 3.098 5.363 3.098 -3.098 5.363 3.098 3.098 -5.363" Properties=species:S:1:pos:R:3 pbc="T T T"
Pr 0.000 1.549 1.341
Pr 3.098 1.549 4.023
Sn 1.549 1.549 -2.682
Sn 1.549 -1.549 2.682
Sn 3.098 0.000 0.000
Sn 0.000 0.000 5.363
O 1.147 0.520 -0.766
O 2.068 0.402 1.916
O 1.951 -0.520 4.598
O 2.068 3.500 -1.916
O 1.029 -0.402 7.280
O 1.147 3.617 0.766
O 1.029 2.695 3.447
O 1.951 2.578 6.129
```

Summary:
Crystal system   tetragonal

ii | Compound: PrSn2O4
Source: OQMD
Functional: PBE
Structure: optimized geometry

Geometry as extended XYZ:
```
14
Lattice="0.000 4.955 4.955 4.955 0.000 4.955 4.955 4.955 0.000" Properties=species:S:1:pos:R:3 pbc="T T T"
Pr 1.239 1.239 1.239
Pr 8.671 8.671 8.671
Sn 4.955 2.477 2.477
Sn 2.477 4.955 2.477
Sn 2.477 2.477 4.955
Sn 4.955 4.955 4.955
O 2.555 2.555 2.555
O 4.877 4.877 2.555
O 4.877 2.555 4.877
O 7.354 5.033 5.033
O 2.555 4.877 4.877
O 5.033 7.354 5.033
O 5.033 5.033 7.354
O 7.354 7.354 7.354
```

Summary:
Crystal system   cubic

Which of them is the most stable? Correct choice: i.